VASP calculation (PBEsol) on crystalline Ta2AgAu at its relaxed geometry.

As for the calculated formation energy: 0.114 eV/atom. As for the space group: I4/mmm, No. 139. The value obtained for the total magnetic moment is 0.00 μB per atom.

```
Ta2AgAu
1.0
4.002 0.000 0.000
0.000 4.002 0.000
0.000 0.000 8.414
Ta Ag Au
4 2 2
direct
0.000 0.500 0.250
0.000 0.500 0.750
0.500 0.000 0.250
0.500 0.000 0.750
0.000 0.000 0.000
0.500 0.500 0.500
0.000 0.000 0.500
0.500 0.500 0.000
```